Entry 1:
VASP calculation (PBE-GGA) on a relaxed structure of PmSm2Dy2Y.

Unit cell a=6.6624 b=17.7198 c=3.4109 alpha=90.00 beta=90.00 gamma=90.00
Closest atoms and distances in Å follow each position.
Sites, in units of the cell vectors:
Pm 0.0000 0.0000 0.0000  2 Sm 3.23, 2 Pm 3.41, 2 Dy 3.55
Pm 0.5000 0.5000 0.5000  2 Sm 3.23, 2 Pm 3.41, 2 Dy 3.55
Sm 0.2305 0.3487 0.5000  1 Pm 3.23, 4 Dy 3.34-3.45, 2 Sm 3.41, 2 Y 3.53
Sm 0.2695 0.8487 0.0000  1 Pm 3.23, 4 Dy 3.34-3.45, 2 Sm 3.41, 2 Y 3.53
Sm 0.7305 0.1513 0.0000  1 Pm 3.23, 4 Dy 3.34-3.45, 2 Sm 3.41, 2 Y 3.53
Sm 0.7695 0.6513 0.5000  1 Pm 3.23, 4 Dy 3.34-3.45, 2 Sm 3.41, 2 Y 3.53
Dy 0.2345 0.1797 0.0000  4 Sm 3.34-3.45, 2 Dy 3.41, 1 Pm 3.55
Dy 0.2655 0.6797 0.5000  4 Sm 3.34-3.45, 2 Dy 3.41, 1 Pm 3.55
Dy 0.7345 0.3203 0.5000  4 Sm 3.34-3.45, 2 Dy 3.41, 1 Pm 3.55
Dy 0.7655 0.8203 0.0000  4 Sm 3.34-3.45, 2 Dy 3.41, 1 Pm 3.55
Y 0.0000 0.5000 0.0000  2 Y 3.41, 4 Sm 3.53, 4 Pm 3.74
Y 0.5000 0.0000 0.5000  2 Y 3.41, 4 Sm 3.53, 4 Pm 3.74

Volume ... 403 Å³ per cell
Density ... 7.09 g cm⁻³
E_tot ... -28.3 eV per formula unit
Magnetization ... 0.0 μB/f.u.

---

Entry 2:
VASP calculation (PBE-GGA) on a relaxed structure of VCo2OsS.

Unit cell a=4.1380 b=4.1380 c=4.2878 alpha=90.00 beta=90.00 gamma=90.00
Closest atoms and distances in Å follow each position.
Sites, in units of the cell vectors:
V 0.0000 0.0000 0.0000  4 Co 2.07, 2 S 2.14
Co 0.0000 0.5000 0.0000  2 V 2.07
Co 0.5000 0.0000 0.0000  2 V 2.07
Os 0.5000 0.5000 0.5000  4 S 2.93, 8 Co 2.98
S 0.0000 0.0000 0.5000  2 V 2.14

Volume ... 73 Å³ per cell
Density ... 8.85 g cm⁻³
E_tot ... -32.2 eV per formula unit
Uncorrected formation energy ... 1303 meV/atom
Magnetization ... 1.6 μB/f.u.

---

Entry 3:
VASP calculation (PBE-GGA) on a relaxed structure of Bi7IrBr12.

Unit cell a=9.9995 b=9.9995 c=9.9995 alpha=107.99 beta=107.99 gamma=107.99
Closest atoms and distances in Å follow each position.
Sites, in units of the cell vectors:
Bi 0.0000 0.0000 0.0000  6 Br 2.91
Bi 0.2024 0.4140 0.4643  1 Ir 2.70, 2 Br 2.91-2.92
Bi 0.4140 0.4643 0.2024  1 Ir 2.70, 2 Br 2.91-2.92
Bi 0.4643 0.2024 0.4140  1 Ir 2.70, 2 Br 2.91-2.92
Bi 0.5357 0.7976 0.5860  1 Ir 2.70, 2 Br 2.91-2.92
Bi 0.5860 0.5357 0.7976  1 Ir 2.70, 2 Br 2.91-2.92
Bi 0.7976 0.5860 0.5357  1 Ir 2.70, 2 Br 2.91-2.92
Ir 0.5000 0.5000 0.5000  6 Bi 2.70
Br 0.0479 0.3239 0.1024  3 Bi 2.91-3.17
Br 0.1024 0.0479 0.3239  3 Bi 2.91-3.17
Br 0.2162 0.7254 0.5488  2 Bi 2.91-2.92
Br 0.2746 0.4512 0.7838  2 Bi 2.91-2.92
Br 0.3239 0.1024 0.0479  3 Bi 2.91-3.17
Br 0.4512 0.7838 0.2746  2 Bi 2.91-2.92
Br 0.5488 0.2162 0.7254  2 Bi 2.91-2.92
Br 0.6761 0.8976 0.9521  3 Bi 2.91-3.17
Br 0.7254 0.5488 0.2162  2 Bi 2.91-2.92
Br 0.7838 0.2746 0.4512  2 Bi 2.91-2.92
Br 0.8976 0.9521 0.6761  3 Bi 2.91-3.17
Br 0.9521 0.6761 0.8976  3 Bi 2.91-3.17

Volume ... 809 Å³ per cell
Density ... 5.36 g cm⁻³
E_tot ... -68.0 eV per formula unit
Uncorrected formation energy ... -594 meV/atom
Magnetization ... 0.0 μB/f.u.

---

Entry 4:
VASP calculation (PBE-GGA) on a relaxed structure of CsAg2Se2.

Unit cell a=8.9573 b=8.9573 c=3.3420 alpha=90.00 beta=90.00 gamma=90.00
Closest atoms and distances in Å follow each position.
Sites, in units of the cell vectors:
Cs 0.0000 0.0000 0.0000  2 Cs 3.34, 4 Se 3.39
Cs 0.5000 0.5000 0.0000  2 Cs 3.34, 4 Se 3.39
Ag 0.1165 0.3835 0.5000  1 Ag 2.95, 4 Se 2.96
Ag 0.3835 0.8835 0.5000  1 Ag 2.95, 4 Se 2.96
Ag 0.6165 0.1165 0.5000  1 Ag 2.95, 4 Se 2.96
Ag 0.8835 0.6165 0.5000  1 Ag 2.95, 4 Se 2.96
Se 0.1536 0.6536 0.0000  4 Ag 2.96
Se 0.3464 0.1536 0.0000  4 Ag 2.96
Se 0.6536 0.8464 0.0000  4 Ag 2.96
Se 0.8464 0.3464 0.0000  4 Ag 2.96

Volume ... 268 Å³ per cell
Density ... 6.27 g cm⁻³
ΔE to the lowest computed polymorph ... 0.340 eV per atom
E_tot ... -14.1 eV per formula unit
Uncorrected formation energy ... -115 meV/atom
Magnetization ... 0.0 μB/f.u.